This record from Alexandria describes an optimized crystal structure of VNi3S. The functional is PBE.

The crystal system is cubic. The energy relative to the lowest polymorph listed for this composition is 0.00 eV per formula unit. Its density of states at the Fermi level is 5.1 states/eV/f.u. The calculation puts the formation energy without anion corrections at 0.20 eV per atom. The calculation puts the spin magnetization at 2.9 μB/cell.

The structure belongs to space group Pm-3m (No. 221); the cell edges are 4.120, 4.120 and 4.120 Å and the angles 90.00°, 90.00° and 90.00°. The inequivalent atoms are V at (0.000, 0.000, 0.000), Ni at (0.000, 0.500, 0.500) and S at (0.500, 0.500, 0.500).


This record from Alexandria describes an optimized crystal structure of LaCd2HgPd. The functional is PBE.

The crystal system is tetragonal. Its density of states at the Fermi level is 3.4 states/eV/f.u. The energy of formation is -0.29 eV/atom. The calculation puts the spin magnetization at 0.0 μB/cell.

The structure belongs to space group P4/mmm (No. 123); the cell edges are 5.263, 5.263 and 5.349 Å and the angles 90.00°, 90.00° and 90.00°. The inequivalent atoms are La at (0.000, 0.000, 0.000), Cd at (0.000, 0.500, 0.500), Hg at (0.500, 0.500, 0.000) and Pd at (0.000, 0.000, 0.500).


This record from Alexandria describes an optimized crystal structure of DyY4Sc. The functional is PBE.

The crystal system is tetragonal. The energy relative to the lowest polymorph listed for this composition is 3.69 eV per formula unit. Its density of states at the Fermi level is 7.8 states/eV/f.u. The energy of formation is 0.66 eV/atom. The calculation puts the spin magnetization at 0.0 μB/cell.

The structure belongs to space group P4/mmm (No. 123); the cell edges are 5.335, 5.335 and 7.675 Å and the angles 90.00°, 90.00° and 90.00°. The inequivalent atoms are Dy at (0.000, 0.000, 0.000), Y at (0.000, 0.500, 0.260) and Sc at (0.500, 0.500, 0.500).


This record from Alexandria describes an optimized crystal structure of P2RuSe. The functional is PBE.

The crystal system is orthorhombic. Its density of states at the Fermi level is 2.8 states/eV/f.u. The calculation puts the formation energy without anion corrections at 0.34 eV per atom. The calculation puts the spin magnetization at 0.0 μB/cell.

The structure belongs to space group Cmmm (No. 65); the cell edges are 2.871, 4.719 and 10.422 Å and the angles 90.00°, 90.00° and 90.00°. The inequivalent atoms are P at (0.000, 0.000, 0.187), Ru at (0.000, 0.500, 0.000) and Se at (0.000, 0.500, 0.500).


This record from Alexandria describes an optimized crystal structure of Cs2GaPbI6. The functional is PBE.

The crystal system is tetragonal. Its density of states at the Fermi level is 4.2 states/eV/f.u. The calculation puts the formation energy without anion corrections at -0.91 eV per atom. The calculation puts the spin magnetization at 0.0 μB/cell.

The structure belongs to space group I4/mmm (No. 139); the cell edges are 8.711, 8.711 and 12.256 Å and the angles 90.00°, 90.00° and 90.00°. The inequivalent atoms are Cs at (0.000, 0.500, 0.250), Ga at (0.000, 0.000, 0.000), Pb at (0.000, 0.000, 0.500), I at (0.000, 0.000, 0.240) and I at (0.241, 0.241, 0.000).


This record from Alexandria describes an optimized crystal structure of Cs3NaBi4. The functional is PBE.

The crystal system is orthorhombic. Its density of states at the Fermi level is 4.7 states/eV/f.u. The energy of formation is -0.19 eV/atom. The calculation puts the spin magnetization at 0.0 μB/cell.

The structure belongs to space group Immm (No. 71); the cell edges are 6.517, 7.607 and 18.672 Å and the angles 90.00°, 90.00° and 90.00°. The inequivalent atoms are Cs at (0.000, 0.000, 0.000), Cs at (0.000, 0.500, 0.186), Na at (0.000, 0.000, 0.500) and Bi at (0.000, 0.313, 0.394).


This record from Alexandria describes an optimized crystal structure of TbYCoRu. The functional is PBE.

The crystal system is orthorhombic. The energy relative to the lowest polymorph listed for this composition is 0.00 eV per formula unit. Its density of states at the Fermi level is 3.6 states/eV/f.u. The energy of formation is -0.23 eV/atom. The calculation puts the spin magnetization at 1.5 μB/cell.

The structure belongs to space group Amm2 (No. 38); the cell edges are 4.045, 4.209 and 10.179 Å and the angles 90.00°, 90.00° and 90.00°. The inequivalent atoms are Tb at (0.000, 0.000, 0.000), Y at (0.500, 0.000, 0.709), Co at (0.500, 0.000, 0.414) and Ru at (0.000, 0.000, 0.301).


This record from Alexandria describes an optimized crystal structure of Sm2VC. The functional is PBE.

The crystal system is trigonal. Its density of states at the Fermi level is 4.9 states/eV/f.u. The energy of formation is 0.52 eV/atom. The calculation puts the spin magnetization at 11.4 μB/cell.

The structure belongs to space group R-3m (No. 166, hexagonal axes); the cell edges are 3.5186, 3.5186 and 27.2431 Å and the angles 90.00°, 90.00° and 120.00°. The inequivalent atoms are Sm at (0.0000, 0.0000, 0.1146), V at (0.0000, 0.0000, 0.0000) and C at (0.0000, 0.0000, 0.5000).


This record from Alexandria describes an optimized crystal structure of CeDy2PaSb4. The functional is PBE.

The crystal system is monoclinic. Its density of states at the Fermi level is 13.0 states/eV/f.u. The calculation puts the formation energy without anion corrections at -0.93 eV per atom. The calculation puts the spin magnetization at 1.8 μB/cell.

The structure belongs to space group P2/m (No. 10); the cell edges are 7.629, 4.405 and 7.645 Å and the angles 90.00°, 109.40° and 90.00°. The inequivalent atoms are Ce at (0.000, 0.000, 0.000), Dy at (0.500, 0.000, 0.500), Dy at (0.500, 0.500, 0.000), Pa at (0.000, 0.500, 0.500), Sb at (0.253, 0.000, 0.747) and Sb at (0.254, 0.500, 0.256).


This record from Alexandria describes an optimized crystal structure of CsSc2CuS. The functional is PBE.

The crystal system is tetragonal. Its density of states at the Fermi level is 6.2 states/eV/f.u. The calculation puts the formation energy without anion corrections at 1.63 eV per atom. The calculation puts the spin magnetization at 0.0 μB/cell.

The structure belongs to space group P4/mmm (No. 123); the cell edges are 5.365, 5.365 and 4.849 Å and the angles 90.00°, 90.00° and 90.00°. The inequivalent atoms are Cs at (0.000, 0.000, 0.000), Sc at (0.000, 0.500, 0.000), Cu at (0.000, 0.000, 0.500) and S at (0.500, 0.500, 0.500).


This record from Alexandria describes an optimized crystal structure of CaAgPb3. The functional is PBE.

The crystal system is cubic. The energy relative to the lowest polymorph listed for this composition is 0.00 eV per formula unit. Its density of states at the Fermi level is 2.8 states/eV/f.u. The energy of formation is 0.12 eV/atom. The calculation puts the spin magnetization at 0.0 μB/cell.

The structure belongs to space group Pm-3m (No. 221); the cell edges are 5.563, 5.563 and 5.563 Å and the angles 90.00°, 90.00° and 90.00°. The inequivalent atoms are Ca at (0.000, 0.000, 0.000), Ag at (0.500, 0.500, 0.500) and Pb at (0.000, 0.500, 0.500).


This record from Alexandria describes an optimized crystal structure of TbHo2Hg4. The functional is PBE.

The crystal system is trigonal. The energy relative to the lowest polymorph listed for this composition is 0.00 eV per formula unit. Its density of states at the Fermi level is 5.9 states/eV/f.u. The energy of formation is -0.33 eV/atom. The calculation puts the spin magnetization at 0.0 μB/cell.

The structure belongs to space group R-3m (No. 166, hexagonal axes); the cell edges are 5.0854, 5.0854 and 25.9612 Å and the angles 90.00°, 90.00° and 120.00°. The inequivalent atoms are Tb at (0.0000, 0.0000, 0.0000), Ho at (0.0000, 0.0000, 0.2443), Hg at (0.0000, 0.0000, 0.1267) and Hg at (0.0000, 0.0000, 0.3769).